# 1
CaCrH3 | PBE-GGA | optimized geometry

The total energy is -4.553 eV/atom. The calculated density is 3.06 Mg/m³. The calculation puts the polymorph energy (0 for the lowest one) at 0 meV per atom.

It has space group Pm-3m (No. 221), with a = 3.723 Å, b = 3.723 Å, c = 3.723 Å, α = 90.00°, β = 90.00° and γ = 90.00°. The distinct sites, in fractional coordinates, are Ca at (0.000, 0.000, 0.000), Cr at (0.500, 0.500, 0.500) and H at (0.000, 0.500, 0.500).


# 2
Th6TlFe | PBE-GGA | optimized geometry

The formation energy comes out at 106 meV/atom. The total energy is -6.813 eV/atom. The calculated density is 11.59 Mg/m³. The calculation puts the polymorph energy (0 for the lowest one) at 46 meV per atom.

It has space group Amm2 (No. 38), with a = 4.681 Å, b = 9.409 Å, c = 10.749 Å, α = 90.00°, β = 90.00° and γ = 90.00°. The distinct sites, in fractional coordinates, are Th at (0.000, 0.000, 0.000), Th at (0.000, 0.190, 0.279), Th at (0.500, 0.000, 0.785), Th at (0.500, 0.232, 0.529), Tl at (0.000, 0.000, 0.567) and Fe at (0.500, 0.000, 0.147).


# 3
TbPm3SmSc | PBE-GGA | optimized geometry

The formation energy comes out at 41 meV/atom. The total energy is -4.948 eV/atom. The calculated density is 6.79 Mg/m³.

It has space group P2_1/m (No. 11), with a = 7.951 Å, b = 5.071 Å, c = 10.101 Å, α = 90.00°, β = 108.63° and γ = 90.00°. The distinct sites, in fractional coordinates, are Tb at (0.001, 0.250, 0.372), Pm at (0.323, 0.750, 0.959), Pm at (0.328, 0.250, 0.710), Pm at (0.330, 0.750, 0.455), Sm at (0.325, 0.250, 0.203) and Sc at (0.001, 0.750, 0.121).


# 4
Be2TcHg | PBE-GGA | optimized geometry

The formation energy comes out at 597 meV/atom. The total energy is -3.933 eV/atom. The calculated density is 9.40 Mg/m³.

It has space group I-42d (No. 122), with a = 6.370 Å, b = 6.370 Å, c = 5.515 Å, α = 90.00°, β = 90.00° and γ = 90.00°. The distinct sites, in fractional coordinates, are Be at (0.239, 0.250, 0.125), Tc at (0.000, 0.000, 0.000) and Hg at (0.000, 0.000, 0.500).


# 5
GaCoGePt | PBE-GGA | optimized geometry

The formation energy comes out at -315 meV/atom. The total energy is -5.512 eV/atom. The calculated density is 10.94 Mg/m³. The calculation puts the polymorph energy (0 for the lowest one) at 0 meV per atom.

It has space group Imm2 (No. 44), with a = 2.765 Å, b = 3.658 Å, c = 11.898 Å, α = 90.00°, β = 90.00° and γ = 90.00°. The distinct sites, in fractional coordinates, are Ga at (0.000, 0.000, 0.000), Co at (0.000, 0.500, 0.326), Ge at (0.000, 0.500, 0.774) and Pt at (0.000, 0.000, 0.616).


# 6
KRePb2 | PBE-GGA | optimized geometry

The formation energy comes out at 478 meV/atom. The total energy is -4.762 eV/atom. The calculated density is 10.24 Mg/m³. The calculation puts the polymorph energy (0 for the lowest one) at 0 meV per atom.

It has space group P4/mmm (No. 123), with a = 3.424 Å, b = 3.424 Å, c = 8.849 Å, α = 90.00°, β = 90.00° and γ = 90.00°. The distinct sites, in fractional coordinates, are K at (0.000, 0.000, 0.000), Re at (0.000, 0.000, 0.500) and Pb at (0.500, 0.500, 0.310).